Nb2Al2Pb | PBE | optimized geometry

## Properties
uncorrected energy = -6.19 eV per atom
formation enthalpy at 0 K = 0.08 eV per atom
magnetic moment = 0.00 μB/atom
energy relative to the lowest polymorph listed for this composition = 0 meV per atom

abc: 7.336 7.336 3.679
angles: 90.00 90.00 90.00
Fractional coordinates of all 10 atoms:
Nb (0.130, 0.370, 0.000)
Nb (0.370, 0.870, 0.000)
Nb (0.630, 0.130, 0.000)
Nb (0.870, 0.630, 0.000)
Al (0.162, 0.662, 0.500)
Al (0.338, 0.162, 0.500)
Al (0.662, 0.838, 0.500)
Al (0.838, 0.338, 0.500)
Pb (0.000, 0.000, 0.000)
Pb (0.500, 0.500, 0.000)

---

NbAlPb2S | PBE | optimized geometry

## Properties
uncorrected energy = -4.12 eV per atom
magnetic moment = 0.00 μB/atom
energy relative to the elements, uncorrected = 0.9551 eV per atom

abc: 5.444 5.444 4.376
angles: 90.00 90.00 90.00
Fractional coordinates of all 5 atoms:
Nb (0.000, 0.000, 0.000)
Al (0.500, 0.500, 0.500)
Pb (0.000, 0.500, 0.500)
Pb (0.500, 0.000, 0.500)
S (0.500, 0.500, 0.000)

---

TiNb2AlPb | PBE | optimized geometry

## Properties
uncorrected energy = -6.16 eV per atom
formation enthalpy at 0 K = 0.94 eV per atom
magnetic moment = 0.00 μB/atom

abc: 4.768 4.768 4.965
angles: 90.00 90.00 90.00
Fractional coordinates of all 5 atoms:
Ti (0.000, 0.000, 0.000)
Nb (0.000, 0.500, 0.000)
Nb (0.500, 0.000, 0.000)
Al (0.000, 0.000, 0.500)
Pb (0.500, 0.500, 0.500)

---

Nb2AlPd | PBE | optimized geometry

## Properties
uncorrected energy = -7.12 eV per atom
formation enthalpy at 0 K = 0.15 eV per atom
magnetic moment = 0.00 μB/atom

abc: 2.863 2.863 29.915
angles: 90.00 90.00 120.00
Fractional coordinates of all 12 atoms:
Nb (0.000, 0.000, 0.087)
Nb (0.000, 0.000, 0.913)
Nb (0.333, 0.667, 0.580)
Nb (0.333, 0.667, 0.754)
Nb (0.667, 0.333, 0.246)
Nb (0.667, 0.333, 0.420)
Al (0.000, 0.000, 0.500)
Al (0.333, 0.667, 0.167)
Al (0.667, 0.333, 0.833)
Pd (0.000, 0.000, 0.000)
Pd (0.333, 0.667, 0.667)
Pd (0.667, 0.333, 0.333)

---

Nb2AlPd8 | PBE | optimized geometry

## Properties
uncorrected energy = -6.39 eV per atom
formation enthalpy at 0 K = -0.44 eV per atom
magnetic moment = 0.00 μB/atom

abc: 7.673 7.673 7.673
angles: 145.50 136.20 56.92
Fractional coordinates of all 11 atoms:
Nb (0.190, 0.190, 0.000)
Nb (0.810, 0.810, 0.000)
Al (0.500, 0.500, 0.000)
Pd (0.098, 0.362, 0.736)
Pd (0.243, 0.000, 0.243)
Pd (0.318, 0.818, 0.500)
Pd (0.373, 0.638, 0.736)
Pd (0.627, 0.362, 0.264)
Pd (0.682, 0.182, 0.500)
Pd (0.757, 0.000, 0.757)
Pd (0.902, 0.638, 0.264)

---

Nb3AlPd | PBE | optimized geometry

## Properties
uncorrected energy = -6.70 eV per atom
formation enthalpy at 0 K = 1.13 eV per atom
magnetic moment = 0.00 μB/atom
energy relative to the lowest polymorph listed for this composition = 0 meV per atom

abc: 4.673 4.673 4.673
angles: 90.00 90.00 90.00
Fractional coordinates of all 5 atoms:
Nb (0.000, 0.000, 0.500)
Nb (0.000, 0.500, 0.000)
Nb (0.500, 0.000, 0.000)
Al (0.000, 0.000, 0.000)
Pd (0.500, 0.500, 0.500)

---

Nb2AlPd2 | PBE | optimized geometry

## Properties
uncorrected energy = -7.02 eV per atom
formation enthalpy at 0 K = -0.16 eV per atom
magnetic moment = 0.00 μB/atom

abc: 7.627 7.627 2.986
angles: 90.00 90.00 90.00
Fractional coordinates of all 10 atoms:
Nb (0.173, 0.327, 0.000)
Nb (0.327, 0.827, 0.000)
Nb (0.673, 0.173, 0.000)
Nb (0.827, 0.673, 0.000)
Al (0.000, 0.000, 0.500)
Al (0.500, 0.500, 0.500)
Pd (0.125, 0.625, 0.500)
Pd (0.375, 0.125, 0.500)
Pd (0.625, 0.875, 0.500)
Pd (0.875, 0.375, 0.500)

---

Nb12Al3Pd | PBE | optimized geometry

## Properties
uncorrected energy = -8.78 eV per atom
formation enthalpy at 0 K = -0.20 eV per atom
magnetic moment = 0.00 μB/atom

abc: 5.200 5.217 10.414
angles: 90.00 90.00 90.00
Fractional coordinates of all 16 atoms:
Nb (0.000, 0.000, 0.122)
Nb (0.000, 0.000, 0.372)
Nb (0.000, 0.000, 0.628)
Nb (0.000, 0.000, 0.878)
Nb (0.251, 0.500, 0.250)
Nb (0.251, 0.500, 0.750)
Nb (0.500, 0.247, 0.500)
Nb (0.500, 0.252, 0.000)
Nb (0.500, 0.748, 0.000)
Nb (0.500, 0.753, 0.500)
Nb (0.749, 0.500, 0.250)
Nb (0.749, 0.500, 0.750)
Al (0.000, 0.500, 0.500)
Al (0.500, 0.000, 0.252)
Al (0.500, 0.000, 0.748)
Pd (0.000, 0.500, 0.000)